{"formula": "CsKInBi", "functional": "PBE", "state": "relaxed", "ef_ev_per_atom": -0.269, "relative_energy_mev_per_atom": 0, "sg": "Imm2 (44)", "cell": [[-2.370, 3.164, 5.964], [2.370, -3.164, 5.964], [2.370, 3.164, -5.964]], "species": ["Cs", "K", "In", "Bi"], "fractional_positions": [[0.000, 0.000, 0.000], [0.310, 0.810, 0.500], [0.733, 0.233, 0.500], [0.575, 0.575, 0.000]]}

=====

{"formula": "NaNdHf2O6", "functional": "PBE", "state": "relaxed", "formation_energy_uncorrected_ev_per_atom": -3.10, "sg": "Fm-3m (225)", "cell": [[0.000, 4.099, 4.099], [4.099, 0.000, 4.099], [4.099, 4.099, 0.000]], "species": ["Na", "Nd", "Hf", "Hf", "O", "O", "O", "O", "O", "O"], "fractional_positions": [[0.000, 0.000, 0.000], [0.500, 0.500, 0.500], [0.250, 0.250, 0.250], [0.750, 0.750, 0.750], [0.000, 0.000, 0.500], [0.000, 0.500, 0.000], [0.000, 0.500, 0.500], [0.500, 0.000, 0.000], [0.500, 0.000, 0.500], [0.500, 0.500, 0.000]]}

=====

{"formula": "TmPdPt6", "functional": "PBE", "state": "relaxed", "ef_ev_per_atom": -0.528, "relative_energy_mev_per_atom": 0, "sg": "P4/mmm (123)", "cell": [[5.698, 0.000, 0.000], [0.000, 5.698, 0.000], [0.000, 0.000, 4.030]], "species": ["Tm", "Pd", "Pt", "Pt", "Pt", "Pt", "Pt", "Pt"], "fractional_positions": [[0.000, 0.000, 0.000], [0.500, 0.500, 0.000], [0.000, 0.500, 0.000], [0.255, 0.255, 0.500], [0.255, 0.745, 0.500], [0.500, 0.000, 0.000], [0.745, 0.255, 0.500], [0.745, 0.745, 0.500]]}

=====

{"formula": "Fe14GeOs", "functional": "PBE", "state": "relaxed", "ef_ev_per_atom": 0.023, "sg": "Cmmm (65)", "cell": [[2.899, -4.053, 0.000], [2.899, 4.053, 0.000], [0.000, 0.000, 8.083]], "species": ["Fe", "Fe", "Fe", "Fe", "Fe", "Fe", "Fe", "Fe", "Fe", "Fe", "Fe", "Fe", "Fe", "Fe", "Ge", "Os"], "fractional_positions": [[0.000, 0.000, 0.000], [0.000, 0.500, 0.000], [0.000, 0.500, 0.500], [0.249, 0.751, 0.249], [0.249, 0.751, 0.751], [0.250, 0.250, 0.244], [0.250, 0.250, 0.756], [0.500, 0.000, 0.000], [0.500, 0.000, 0.500], [0.500, 0.500, 0.000], [0.750, 0.750, 0.244], [0.750, 0.750, 0.756], [0.751, 0.249, 0.249], [0.751, 0.249, 0.751], [0.000, 0.000, 0.500], [0.500, 0.500, 0.500]]}

=====

Calculated total energy across the listed records, respectively: -9.6 -86.8 -50.1 -134.0 eV/cell.
Magnetic moment across the listed records, respectively: 0.00 0.00 0.00 32.43 μB/cell.
D(E_F) across the listed records, respectively: 1.20 0.00 12.88 14.94 states/eV/f.u..